The following is a DFT calculation (PBE) of a relaxed Li2Ga2Au crystal.

The space group is C2/m (No. 12) and the conventional cell measures 9.5412, 4.4936 and 7.9648 Å, with angles of 90.00, 106.96 and 90.00 degrees. The distinct sites, in fractional coordinates, are Li at (0.0516, 0.0000, 0.3514), Li at (0.1652, 0.0000, 0.0514), Ga at (0.0444, 0.5000, 0.8608), Ga at (0.1435, 0.5000, 0.5698) and Au at (0.2447, 0.5000, 0.2730).

The calculation puts the electronic total energy at -3.003 eV per atom. The density of states at the Fermi level is 4.1 states/eV/cell. The calculation puts the mass density at 7.1 Mg/m³. Its total magnetic moment is 0.000 μB per atom. For the calculated formation energy, the calculation gives -0.37 eV/atom.


The following is a DFT calculation (PBE) of a relaxed Ta2CuPd9 crystal.

The space group is P4/mmm (No. 123) and the conventional cell measures 3.9561, 3.9561 and 11.8039 Å, with angles of 90.00, 90.00 and 90.00 degrees. The distinct sites, in fractional coordinates, are Ta at (0.0000, 0.0000, 0.1776), Cu at (0.0000, 0.0000, 0.5000), Pd at (0.0000, 0.5000, 0.0000), Pd at (0.0000, 0.5000, 0.3312), Pd at (0.5000, 0.5000, 0.1646) and Pd at (0.5000, 0.5000, 0.5000).

The calculation puts the electronic total energy at -6.598 eV per atom. The density of states at the Fermi level is 2.2 states/eV/cell. The calculation puts the mass density at 12.4 Mg/m³. Its total magnetic moment is 0.000 μB per atom. For the calculated formation energy, the calculation gives -0.39 eV/atom.


The following is a DFT calculation (PBE) of a relaxed PrDyYSc crystal.

The space group is F-43m (No. 216) and the conventional cell measures 7.9252, 7.9252 and 7.9252 Å, with angles of 90.00, 90.00 and 90.00 degrees. The distinct sites, in fractional coordinates, are Pr at (0.0000, 0.0000, 0.0000), Dy at (0.0000, 0.0000, 0.5000), Y at (0.2500, 0.2500, 0.2500) and Sc at (0.2500, 0.2500, 0.7500).

The calculation puts the electronic total energy at -5.433 eV per atom. The density of states at the Fermi level is 24.9 states/eV/cell. The calculation puts the mass density at 5.8 Mg/m³. Its total magnetic moment is 0.000 μB per atom. For the calculated formation energy, the calculation gives 0.11 eV/atom.


The following is a DFT calculation (PBE) of a relaxed AlMo4S8 crystal.

The space group is Cm (No. 8) and the conventional cell measures 12.0449, 7.2483 and 9.0559 Å, with angles of 90.00, 114.85 and 90.00 degrees. The distinct sites, in fractional coordinates, are Al at (0.0000, 0.0000, 0.0000), Mo at (0.1486, 0.2119, 0.2659), Mo at (0.1714, 0.0000, 0.5437), Mo at (0.4480, 0.5000, 0.2666), S at (0.0446, 0.2603, 0.4316), S at (0.0806, 0.2691, 0.9919), S at (0.2658, 0.0000, 0.8038), S at (0.2668, 0.5000, 0.3450), S at (0.3033, 0.0000, 0.4102) and S at (0.3162, 0.5000, 0.9967).

The calculation puts the electronic total energy at -6.568 eV per atom. Its energy relative to the elements, uncorrected is -0.41 eV/atom. The density of states at the Fermi level is 12.2 states/eV/cell. The calculation puts the mass density at 3.1 Mg/m³. Its total magnetic moment is 0.000 μB per atom.


The following is a DFT calculation (PBE) of a relaxed CaTl2F2 crystal.

The space group is P4/mbm (No. 127) and the conventional cell measures 6.3369, 6.3369 and 6.0822 Å, with angles of 90.00, 90.00 and 90.00 degrees. The distinct sites, in fractional coordinates, are Ca at (0.0000, 0.0000, 0.0000), Tl at (0.1879, 0.3121, 0.5000) and F at (0.2353, 0.2647, 0.0000).

The calculation puts the electronic total energy at -4.091 eV per atom. Its energy relative to the elements, uncorrected is -2.00 eV/atom. The density of states at the Fermi level is 2.5 states/eV/cell. The calculation puts the mass density at 6.6 Mg/m³. Its total magnetic moment is 0.000 μB per atom.


The following is a DFT calculation (PBE) of a relaxed BaMg2Sn2O7 crystal.

The space group is I4/mmm (No. 139) and the conventional cell measures 4.2022, 4.2022 and 17.4399 Å, with angles of 90.00, 90.00 and 90.00 degrees. The distinct sites, in fractional coordinates, are Ba at (0.0000, 0.0000, 0.0000), Mg at (0.0000, 0.5000, 0.2500), Sn at (0.0000, 0.0000, 0.3826), O at (0.0000, 0.0000, 0.2639), O at (0.0000, 0.0000, 0.5000) and O at (0.0000, 0.5000, 0.1232).

The calculation puts the electronic total energy at -6.170 eV per atom. Its energy relative to the elements, uncorrected is -2.18 eV/atom. The calculation puts the mass density at 5.8 Mg/m³. Its total magnetic moment is 0.000 μB per atom.